# 1
DFT (SCAN) results for a PBEsol-optimized structure of ErCoNi.

Cell and atoms, written as CIF:
```
data_ErCoNi
_symmetry_space_group_name_H-M 'I m m a'
_symmetry_Int_Tables_number 74
_symmetry_space_group_name_Hall '-I 2b 2'
_cell_length_a 4.8395
_cell_length_b 4.9559
_cell_length_c 7.1087
_cell_angle_alpha 90.00
_cell_angle_beta 90.00
_cell_angle_gamma 90.00
loop_
_atom_site_label
_atom_site_type_symbol
_atom_site_fract_x
_atom_site_fract_y
_atom_site_fract_z
_atom_site_occupancy
Er1 Er 0.0000 0.2500 0.1226 1
Co1 Co 0.2500 0.2500 0.7500 1
Ni1 Ni 0.0000 0.0000 0.5000 1
```

## Properties
**ΔH_f (0 K)**: -332 meV/atom

***

# 2
DFT (SCAN) results for a PBEsol-optimized structure of ErCoO3.

Cell and atoms, written as CIF:
```
data_ErCoO3
_symmetry_space_group_name_H-M 'P n m a'
_symmetry_Int_Tables_number 62
_cell_length_a 5.4334
_cell_length_b 7.2420
_cell_length_c 5.0147
_cell_angle_alpha 90.00
_cell_angle_beta 90.00
_cell_angle_gamma 90.00
loop_
_symmetry_equiv_pos_as_xyz
'x,y,z'
'-x,-y,-z'
'-x+1/2,-y,z+1/2'
'x+1/2,y,-z+1/2'
'x+1/2,-y+1/2,-z+1/2'
'-x+1/2,y+1/2,z+1/2'
'-x,y+1/2,-z'
'x,-y+1/2,z'
loop_
_atom_site_label
_atom_site_type_symbol
_atom_site_fract_x
_atom_site_fract_y
_atom_site_fract_z
_atom_site_occupancy
Er1 Er 0.0801 0.2500 0.0247 1
Co1 Co 0.0000 0.0000 0.5000 1
O1 O 0.0297 0.7500 0.3942 1
O2 O 0.1963 0.5515 0.8129 1
```

## Properties
**ΔE_f (raw)**: -2757.6 meV/atom

***

# 3
DFT (SCAN) results for a PBEsol-optimized structure of Er5Co19P12.

Cell and atoms, written as CIF:
```
data_Er5Co19P12
_symmetry_space_group_name_H-M 'P -6 2 m'
_symmetry_Int_Tables_number 189
_symmetry_space_group_name_Hall 'P -6 -2'
_cell_length_a 11.8048
_cell_length_b 11.8048
_cell_length_c 3.6039
_cell_angle_alpha 90.00
_cell_angle_beta 90.00
_cell_angle_gamma 120.00
loop_
_atom_site_label
_atom_site_type_symbol
_atom_site_fract_x
_atom_site_fract_y
_atom_site_fract_z
_atom_site_occupancy
Er1 Er 0.0000 0.1868 0.0000 1
Er2 Er 0.3333 0.6667 0.5000 1
Co1 Co 0.0000 0.0000 0.5000 1
Co2 Co 0.0000 0.5529 0.5000 1
Co3 Co 0.0000 0.7151 0.0000 1
Co4 Co 0.1255 0.4834 0.0000 1
Co5 Co 0.1783 0.8009 0.5000 1
P1 P 0.0000 0.3676 0.5000 1
P2 P 0.0000 0.8196 0.5000 1
P3 P 0.1655 0.6849 0.0000 1
```

## Properties
**ΔH_f (0 K)**: -862 meV/atom

***

Record order is preserved below.
Volume: 14.2; 9.9; 12.1 A^3/atom